# 1
A plane-wave DFT calculation with GGA-PBE was carried out for LaPtS3 after structural relaxation.

Lattice parameters (Å, degrees): 4.7370 4.7370 4.7370 90.00 90.00 90.00
Atoms (fractional coordinates):
S 0.0000 0.5000 0.0000
S 0.5000 0.0000 0.0000
S 0.0000 0.0000 0.5000
Pt 0.0000 0.0000 0.0000
La 0.5000 0.5000 0.5000

Results
- E_tot: -27.83 eV for the cell shown
- SG: Pm-3m, No. 221
- Total moment: 0.000 μB/atom
- N(E_F): 0.9 states/eV per cell



# 2
A plane-wave DFT calculation with GGA-PBE was carried out for La2PtS after structural relaxation.

Lattice parameters (Å, degrees): 4.1218 4.1218 7.8652 74.81 74.81 60.00
Atoms (fractional coordinates):
La 0.2554 0.2554 0.2337
La 0.0786 0.0786 0.7643
S 0.4986 0.4986 0.5042
Pt 0.6674 0.6674 0.9978

Results
- E_tot: -26.06 eV for the cell shown
- SG: R3m, No. 160
- Total moment: 0.000 μB/atom
- N(E_F): 2.8 states/eV per cell



# 3
A plane-wave DFT calculation with GGA-PBE was carried out for La2PtS after structural relaxation.

Lattice parameters (Å, degrees): 4.1507 4.1507 7.6674 74.30 74.30 60.00
Atoms (fractional coordinates):
S 0.0000 0.0000 0.0000
La 0.2474 0.2474 0.2579
La 0.7526 0.7526 0.7421
Pt 0.5000 0.5000 0.5000

Results
- E_tot: -26.39 eV for the cell shown
- SG: R-3m, No. 166
- Total moment: 0.000 μB/atom
- N(E_F): 2.7 states/eV per cell